Entry from Alexandria: a geometry-optimized LaPm6Y2Ho structure (PBE).

Lattice parameters (Å, degrees): 8.9678 8.9678 9.6852 93.74 93.74 117.22
Fractional positions:
La (0.0939, 0.9061, 0.7500)
La (0.9061, 0.0939, 0.2500)
Pm (0.0140, 0.7942, 0.3810)
Pm (0.0664, 0.5190, 0.1828)
Pm (0.2058, 0.9860, 0.1190)
Pm (0.2610, 0.6109, 0.5567)
Pm (0.3891, 0.7390, 0.9433)
Pm (0.4810, 0.9336, 0.3172)
Pm (0.5190, 0.0664, 0.6828)
Pm (0.6109, 0.2610, 0.0567)
Pm (0.7390, 0.3891, 0.4433)
Pm (0.7942, 0.0140, 0.8810)
Pm (0.9336, 0.4810, 0.8172)
Pm (0.9860, 0.2058, 0.6190)
Y (0.2083, 0.3044, 0.9525)
Y (0.3044, 0.2083, 0.4525)
Y (0.6956, 0.7917, 0.5475)
Y (0.7917, 0.6956, 0.0475)
Ho (0.4671, 0.5329, 0.2500)
Ho (0.5329, 0.4671, 0.7500)

Properties
Fermi-level density of states	15.1	states/eV/f.u.
total magnetic moment	0.00	μB per atom
E	-4.975	eV/atom
space group	No. 15

Entry from Alexandria: a geometry-optimized SrTaRe structure (PBE).

Lattice parameters (Å, degrees): 4.6694 4.6694 4.6694 60.00 60.00 60.00
Fractional positions:
Sr (0.0000, 0.0000, 0.0000)
Ta (0.2500, 0.2500, 0.2500)
Re (0.7500, 0.7500, 0.7500)

Properties
Fermi-level density of states	4.2	states/eV/f.u.
total magnetic moment	0.13	μB per atom
E	-5.950	eV/atom
space group	No. 216

Entry from Alexandria: a geometry-optimized TlSnTeBr2 structure (PBE).

Lattice parameters (Å, degrees): 5.6813 5.6813 5.8316 90.00 90.00 90.00
Fractional positions:
Tl (0.0000, 0.0000, 0.0000)
Sn (0.5000, 0.5000, 0.5000)
Te (0.5000, 0.5000, 0.0000)
Br (0.0000, 0.5000, 0.5000)
Br (0.5000, 0.0000, 0.5000)

Properties
formation energy from raw total energies	-419	meV per atom
Fermi-level density of states	5.5	states/eV/f.u.
total magnetic moment	0.00	μB per atom
E	-2.991	eV/atom
space group	No. 123